First-principles (GGA+U) data for an optimized crystal structure of LaIn2MoO8, as listed in the Alexandria database.

Cell: 4.9417 4.9396 6.8997 Å, 90.00 90.00 90.21°
Last column: magnetic moment on the atom in μB.
Element x y z (fractional)
La1 0.0000 0.0000 0.5000  0.05
In1 0.5000 0.5000 0.7642  -0.01
In2 0.5000 0.5000 0.2358  -0.01
Mo1 0.0000 0.0000 0.0000  -0.03
O1 0.1881 0.8112 0.2039  0.02
O2 0.7137 0.7144 0.0000  0.05
O3 0.8119 0.1888 0.2039  0.02
O4 0.8119 0.1888 0.7961  0.02
O5 0.2863 0.2856 0.0000  0.05
O6 0.1881 0.8112 0.7961  0.02
O7 0.6750 0.6752 0.5000  0.23
O8 0.3250 0.3248 0.5000  0.23

Output
Volume ... 168.42 Å³/f.u.
Total magnetic moment ... 0.7 μB/f.u.
Density of states at the Fermi level ... 4.2 states/eV/f.u.
Total DFT energy (no corrections) ... -78.87 eV per cell